Record 1
DFT (PBE) results for an optimized crystal structure of CaZn2Tc.

```
CaZn2Tc
1.0
-2.346 0.859 -1.409
-1.991 -2.077 2.047
-0.836 5.447 4.715
Zn Ca Tc
2 1 1
Direct
0.000 0.000 0.992
0.500 0.500 0.191
0.000 0.000 0.511
0.500 0.500 0.806
```

Properties
Space-group type: Pmm2
Spin magnetization, μB per cell: 0.0
E_tot, eV/cell: -13.97
Density of states at the Fermi level, states/eV per atom: 0.78
Formation energy, meV/atom: 237
Energy above the most stable polymorph in this dataset, eV per atom: 0.149



Record 2
DFT (PBE) results for an optimized crystal structure of Ca2ZnTc.

```
Ca2ZnTc
1.0
-1.492 -6.055 -3.657
2.813 -5.432 -3.853
1.023 -7.151 -0.276
Ca Tc Zn
2 1 1
Direct
0.035 0.035 0.035
0.215 0.215 0.215
0.458 0.458 0.458
0.792 0.792 0.792
```

Properties
Space-group type: R3m
Spin magnetization, μB per cell: 0.7
E_tot, eV/cell: -14.58
Density of states at the Fermi level, states/eV per atom: 1.35
Formation energy, meV/atom: 267



Record 3
DFT (PBE) results for an optimized crystal structure of CaZn2Tc.

```
CaZn2Tc
1.0
9.475 -0.022 -0.013
9.006 2.946 -0.013
9.006 1.425 2.578
Zn Ca Tc
2 1 1
Direct
0.010 0.010 0.010
0.490 0.490 0.490
0.250 0.250 0.250
0.750 0.750 0.750
```

Properties
Space-group type: R-3m
Spin magnetization, μB per cell: 0.4
E_tot, eV/cell: -13.35
Density of states at the Fermi level, states/eV per atom: 0.88
Formation energy, meV/atom: 390
Energy above the most stable polymorph in this dataset, eV per atom: 0.302